## TiTc2HPt (PBE-GGA)

Data for a geometry-optimized TiTc2HPt structure.

Lattice parameters (Å, degrees): 3.8947 3.8947 4.0689 90.00 90.00 90.00
Positions (direct):
Ti (0.0000, 0.0000, 0.0000)
Tc (0.0000, 0.5000, 0.5000)
Tc (0.5000, 0.0000, 0.5000)
H (0.0000, 0.0000, 0.5000)
Pt (0.5000, 0.5000, 0.0000)

As for the total energy: -39.8 eV for the cell shown.